The following is a DFT calculation (PBE) of RbThSb2Pt2 after structural relaxation.

Computed properties:
**Uncorrected formation energy**: -5.19 eV/f.u.
**M_tot**: 0.0 μB/cell
**DOS at the Fermi energy**: 1.87 states/eV per cell
**SG**: P-3m1
**Theoretical density**: 8.93 g/cm3
**Crystal system**: trigonal

Cell: 4.482 4.482 10.166 Å, 90.00 90.00 120.00°
Fractional positions:
1 Rb 0.000 0.000 0.000
2 Th 0.000 0.000 0.500
3 Sb 0.667 0.333 0.267
4 Sb 0.333 0.667 0.733
5 Pt 0.667 0.333 0.669
6 Pt 0.333 0.667 0.331